Entry 1:
## MoRh (PBE-GGA)

Data for a relaxed MoRh crystal.

Geometry as POSCAR:
```
MoRh
1.0
5.055 -1.377 0.000
5.055 1.377 0.000
-2.299 0.000 4.285
Mo Rh
2 2
Direct
0.124 0.124 0.285
0.876 0.876 0.715
0.378 0.378 0.205
0.622 0.622 0.795
```

## Properties
The energy relative to the elements is -0.1252 eV/atom.

***

Entry 2:
## Mo4Rh3 (PBE-GGA)

Data for a relaxed Mo4Rh3 crystal.

Geometry as POSCAR:
```
Mo4Rh3
1.0
-1.624 1.624 10.190
1.624 -1.624 10.190
1.624 1.624 -10.190
Mo Rh
4 3
Direct
0.075 0.075 0.000
0.354 0.354 0.000
0.646 0.646 0.000
0.925 0.925 0.000
0.212 0.212 0.000
0.500 0.500 0.000
0.788 0.788 0.000
```

## Properties
The energy relative to the elements is 0.1043 eV/atom. As for the energy above the most stable polymorph in this dataset: 85 meV per atom.

***

Entry 3:
## Mo2Rh (PBE-GGA)

Data for a relaxed Mo2Rh crystal.

Geometry as POSCAR:
```
Mo2Rh
1.0
4.419 0.000 0.000
-2.210 3.827 0.000
0.000 0.000 5.460
Mo Rh
4 2
Direct
0.000 0.000 0.000
0.000 0.000 0.500
0.333 0.667 0.250
0.667 0.333 0.750
0.333 0.667 0.750
0.667 0.333 0.250
```

## Properties
The energy relative to the elements is 0.0468 eV/atom.

***

Entry 4:
## Mo5Rh (PBE-GGA)

Data for a relaxed Mo5Rh crystal.

Geometry as POSCAR:
```
Mo5Rh
1.0
2.215 -6.637 0.000
2.215 6.637 0.000
0.000 0.000 3.195
Mo Rh
5 1
Direct
0.000 0.000 0.000
0.162 0.838 0.500
0.329 0.671 0.000
0.671 0.329 0.000
0.838 0.162 0.500
0.500 0.500 0.500
```

## Properties
The energy relative to the elements is 0.0788 eV/atom. As for the energy above the most stable polymorph in this dataset: 0 meV per atom.

***

Entry 5:
## Mo4Rh (PBE-GGA)

Data for a relaxed Mo4Rh crystal.

Geometry as POSCAR:
```
Mo4Rh
1.0
-2.882 2.882 2.882
2.882 -2.882 2.882
2.882 2.882 -2.882
Mo Rh
4 1
Direct
0.000 0.000 0.500
0.000 0.500 0.000
0.500 0.000 0.000
0.500 0.500 0.500
0.000 0.000 0.000
```

## Properties
The energy relative to the elements is 1.3686 eV/atom. As for the energy above the most stable polymorph in this dataset: 1286 meV per atom.

***

Entry 6:
## MoRh (PBE-GGA)

Data for a relaxed MoRh crystal.

Geometry as POSCAR:
```
MoRh
1.0
3.938 0.000 0.000
-1.969 3.410 0.000
0.000 0.000 5.210
Mo Rh
2 2
Direct
0.000 0.000 0.000
0.000 0.000 0.500
0.333 0.667 0.250
0.667 0.333 0.750
```

## Properties
The energy relative to the elements is 0.6007 eV/atom.

***

Entry 7:
## MoRh3 (PBE-GGA)

Data for a relaxed MoRh3 crystal.

Geometry as POSCAR:
```
MoRh3
1.0
2.729 0.000 0.000
0.000 3.885 0.000
-0.014 0.000 5.469
Mo Rh
1 3
Direct
0.000 0.000 0.000
0.000 0.000 0.500
0.497 0.500 0.749
0.503 0.500 0.251
```

## Properties
The energy relative to the elements is -0.1382 eV/atom.

***

Entry 8:
## Mo5Rh (PBE-GGA)

Data for a relaxed Mo5Rh crystal.

Geometry as POSCAR:
```
Mo5Rh
1.0
4.918 0.000 0.000
-2.459 4.259 0.000
0.000 0.000 4.493
Mo Rh
5 1
Direct
0.000 0.667 0.000
0.333 0.333 0.000
0.333 0.667 0.500
0.667 0.000 0.000
0.667 0.333 0.500
0.000 0.000 0.500
```

## Properties
The energy relative to the elements is 0.2221 eV/atom. As for the energy above the most stable polymorph in this dataset: 143 meV per atom.

***

Entry 9:
## MoRh (PBE-GGA)

Data for a relaxed MoRh crystal.

Geometry as POSCAR:
```
MoRh
1.0
4.434 0.000 0.000
0.000 2.757 0.000
0.000 0.000 4.857
Mo Rh
2 2
Direct
0.250 0.000 0.169
0.750 0.000 0.831
0.250 0.500 0.673
0.750 0.500 0.327
```

## Properties
The energy relative to the elements is -0.1891 eV/atom.

***

Entry 10:
## MoRh (PBE-GGA)

Data for a relaxed MoRh crystal.

Geometry as POSCAR:
```
MoRh
1.0
2.763 0.000 0.000
0.000 2.763 0.000
0.000 0.000 7.902
Mo Rh
2 2
Direct
0.250 0.250 0.136
0.750 0.750 0.864
0.250 0.250 0.630
0.750 0.750 0.370
```

## Properties
The energy relative to the elements is -0.0776 eV/atom.

***

Entry 11:
## Mo3Rh (PBE-GGA)

Data for a relaxed Mo3Rh crystal.

Geometry as POSCAR:
```
Mo3Rh
1.0
4.461 2.576 0.898
-4.461 2.576 0.898
0.000 -5.152 0.898
Mo Rh
3 1
Direct
0.000 0.500 0.500
0.500 0.000 0.500
0.500 0.500 0.000
0.000 0.000 0.000
```

## Properties
The energy relative to the elements is 0.0586 eV/atom.

***

Entry 12:
## Mo3Rh (PBE-GGA)

Data for a relaxed Mo3Rh crystal.

Geometry as POSCAR:
```
Mo3Rh
1.0
2.689 0.000 0.000
0.000 4.045 0.000
0.000 0.000 5.713
Mo Rh
3 1
Direct
0.000 0.000 0.000
0.500 0.500 0.257
0.500 0.500 0.743
0.000 0.000 0.500
```

## Properties
The energy relative to the elements is 0.1073 eV/atom.